Material: Fe2Re6Tc
Method: DFT, PBE-GGA
State: optimized geometry

abc: 6.5951 6.5951 8.1168
angles: 119.84 119.84 63.36
Sites, in units of the cell vectors:
Fe1 0.1166 0.3201 0.0329
Fe2 0.3201 0.1166 0.5329
Fe3 0.6799 0.8834 0.4671
Fe4 0.8834 0.6799 0.9671
Re1 0.0720 0.1100 0.1941
Re2 0.1100 0.0720 0.6941
Re3 0.1530 0.5863 0.5055
Re4 0.2422 0.4754 0.8421
Re5 0.4137 0.8470 0.9945
Re6 0.4754 0.2422 0.3421
Re7 0.5246 0.7578 0.6579
Re8 0.5863 0.1530 0.0055
Re9 0.7578 0.5246 0.1579
Re10 0.8470 0.4137 0.4945
Re11 0.8900 0.9280 0.3059
Re12 0.9280 0.8900 0.8059
Tc1 0.3448 0.6552 0.2500
Tc2 0.6552 0.3448 0.7500

Properties
* DOS(E_F): 7.4 states/eV/f.u.
* formation enthalpy at 0 K: 0.13 eV/atom
* final energy: -11.2042 eV/atom
* magnetic moment: 0.00 μB/atom

Material: FeRe2Tc
Method: DFT, PBE-GGA
State: optimized geometry

abc: 6.1158 6.1158 6.1158
angles: 90.00 90.00 90.00
Sites, in units of the cell vectors:
Fe1 0.0000 0.0000 0.0000
Fe2 0.0000 0.5000 0.5000
Fe3 0.5000 0.0000 0.5000
Fe4 0.5000 0.5000 0.0000
Re1 0.0000 0.0000 0.5000
Re2 0.0000 0.5000 0.0000
Re3 0.2500 0.2500 0.2500
Re4 0.2500 0.7500 0.7500
Re5 0.5000 0.0000 0.0000
Re6 0.5000 0.5000 0.5000
Re7 0.7500 0.2500 0.7500
Re8 0.7500 0.7500 0.2500
Tc1 0.2500 0.2500 0.7500
Tc2 0.2500 0.7500 0.2500
Tc3 0.7500 0.2500 0.2500
Tc4 0.7500 0.7500 0.7500

Properties
* DOS(E_F): 3.5 states/eV/f.u.
* formation enthalpy at 0 K: 0.15 eV/atom
* final energy: -10.7767 eV/atom
* relative energy among the computed polymorphs: 0.086 eV per atom
* magnetic moment: 0.75 μB/atom

Material: FeReTc2
Method: DFT, PBE-GGA
State: optimized geometry

abc: 3.8243 3.8243 7.5827
angles: 90.00 90.00 90.00
Sites, in units of the cell vectors:
Fe1 0.0000 0.0000 0.0000
Fe2 0.5000 0.5000 0.5000
Re1 0.0000 0.5000 0.7500
Re2 0.5000 0.0000 0.2500
Tc1 0.0000 0.0000 0.5000
Tc2 0.0000 0.5000 0.2500
Tc3 0.5000 0.0000 0.7500
Tc4 0.5000 0.5000 0.0000

Properties
* DOS(E_F): 3.4 states/eV/f.u.
* formation enthalpy at 0 K: 0.07 eV/atom
* final energy: -10.3384 eV/atom
* magnetic moment: 0.30 μB/atom

Material: FeRe2Tc
Method: DFT, PBE-GGA
State: optimized geometry

abc: 2.7277 2.7277 26.3319
angles: 90.00 90.00 120.00
Sites, in units of the cell vectors:
Fe1 0.0000 0.0000 0.0000
Fe2 0.3333 0.6667 0.6667
Fe3 0.6667 0.3333 0.3333
Re1 0.0000 0.0000 0.2530
Re2 0.0000 0.0000 0.4993
Re3 0.3333 0.6667 0.1659
Re4 0.3333 0.6667 0.9196
Re5 0.6667 0.3333 0.5863
Re6 0.6667 0.3333 0.8326
Tc1 0.0000 0.0000 0.7469
Tc2 0.3333 0.6667 0.4136
Tc3 0.6667 0.3333 0.0802

Properties
* DOS(E_F): 3.8 states/eV/f.u.
* formation enthalpy at 0 K: 0.12 eV/atom
* final energy: -10.8126 eV/atom
* relative energy among the computed polymorphs: 0.050 eV per atom
* magnetic moment: 0.41 μB/atom

Material: Fe2ReTc
Method: DFT, PBE-GGA
State: optimized geometry

abc: 2.5886 4.2170 4.9748
angles: 90.00 100.34 90.00
Sites, in units of the cell vectors:
Fe1 0.0000 0.0000 0.0000
Fe2 0.1766 0.5000 0.7716
Re1 0.7207 0.5000 0.2541
Tc1 0.4755 0.0000 0.5161

Properties
* DOS(E_F): 3.5 states/eV/f.u.
* formation enthalpy at 0 K: 0.10 eV/atom
* final energy: -9.8310 eV/atom
* magnetic moment: 1.15 μB/atom

Material: FeReTc2
Method: DFT, PBE-GGA
State: optimized geometry

abc: 3.8339 3.8339 7.5586
angles: 90.00 90.00 90.00
Sites, in units of the cell vectors:
Fe1 0.0000 0.0000 0.0000
Fe2 0.5000 0.5000 0.5000
Re1 0.0000 0.0000 0.5000
Re2 0.5000 0.5000 0.0000
Tc1 0.0000 0.5000 0.2500
Tc2 0.0000 0.5000 0.7500
Tc3 0.5000 0.0000 0.2500
Tc4 0.5000 0.0000 0.7500

Properties
* DOS(E_F): 3.5 states/eV/f.u.
* formation enthalpy at 0 K: 0.08 eV/atom
* final energy: -10.3340 eV/atom
* magnetic moment: 0.32 μB/atom

Material: FeRe4Tc
Method: DFT, PBE-GGA
State: optimized geometry

abc: 4.7406 4.7406 9.2469
angles: 105.03 105.03 60.02
Sites, in units of the cell vectors:
Fe1 0.0869 0.9131 0.7500
Fe2 0.9131 0.0869 0.2500
Re1 0.1612 0.6783 0.0017
Re2 0.2505 0.4169 0.2503
Re3 0.3217 0.8388 0.4983
Re4 0.4169 0.2505 0.7503
Re5 0.5831 0.7495 0.2497
Re6 0.6783 0.1612 0.5017
Re7 0.7495 0.5831 0.7497
Re8 0.8388 0.3217 0.9983
Tc1 0.0000 0.5000 0.5000
Tc2 0.5000 0.0000 0.0000

Properties
* DOS(E_F): 5.6 states/eV/f.u.
* formation enthalpy at 0 K: 0.06 eV/atom
* final energy: -11.3814 eV/atom
* relative energy among the computed polymorphs: 0.000 eV per atom
* magnetic moment: 0.12 μB/atom

Material: FeRe2Tc
Method: DFT, PBE-GGA
State: optimized geometry

abc: 5.4033 7.6264 2.7257
angles: 90.00 90.00 90.00
Sites, in units of the cell vectors:
Fe1 0.0000 0.0000 0.0000
Fe2 0.5000 0.5000 0.0000
Re1 0.2500 0.2500 0.5000
Re2 0.2500 0.7500 0.5000
Re3 0.7500 0.2500 0.5000
Re4 0.7500 0.7500 0.5000
Tc1 0.0000 0.5000 0.0000
Tc2 0.5000 0.0000 0.0000

Properties
* DOS(E_F): 3.8 states/eV/f.u.
* formation enthalpy at 0 K: 0.11 eV/atom
* final energy: -10.8201 eV/atom
* relative energy among the computed polymorphs: 0.042 eV per atom
* magnetic moment: 0.31 μB/atom

Material: FeReTc2
Method: DFT, PBE-GGA
State: optimized geometry

abc: 3.0344 4.2727 8.7132
angles: 90.00 90.00 90.00
Sites, in units of the cell vectors:
Fe1 0.0000 0.0000 0.0000
Fe2 0.5000 0.5000 0.5000
Re1 0.0000 0.5000 0.7362
Re2 0.5000 0.0000 0.2362
Tc1 0.0000 0.0000 0.4968
Tc2 0.0000 0.5000 0.2605
Tc3 0.5000 0.0000 0.7605
Tc4 0.5000 0.5000 0.9968

Properties
* DOS(E_F): 3.8 states/eV/f.u.
* formation enthalpy at 0 K: 0.15 eV/atom
* final energy: -10.2575 eV/atom
* magnetic moment: 0.75 μB/atom

Material: FeRe2Tc
Method: DFT, PBE-GGA
State: optimized geometry

abc: 2.7153 3.7444 5.4610
angles: 90.00 90.00 90.00
Sites, in units of the cell vectors:
Fe1 0.0000 0.0000 0.0000
Re1 0.5000 0.5000 0.2342
Re2 0.5000 0.5000 0.7658
Tc1 0.0000 0.0000 0.5000

Properties
* DOS(E_F): 4.2 states/eV/f.u.
* formation enthalpy at 0 K: 0.10 eV/atom
* final energy: -10.8296 eV/atom
* relative energy among the computed polymorphs: 0.033 eV per atom
* magnetic moment: 0.00 μB/atom

Material: Fe2ReTc
Method: DFT, PBE-GGA
State: optimized geometry

abc: 2.6308 3.6299 5.2827
angles: 90.00 90.00 90.00
Sites, in units of the cell vectors:
Fe1 0.0000 0.0000 0.2487
Fe2 0.0000 0.0000 0.7513
Re1 0.5000 0.5000 0.5000
Tc1 0.5000 0.5000 0.0000

Properties
* DOS(E_F): 4.8 states/eV/f.u.
* formation enthalpy at 0 K: 0.09 eV/atom
* final energy: -9.8437 eV/atom
* magnetic moment: 0.09 μB/atom

Material: FeRe2Tc2
Method: DFT, PBE-GGA
State: optimized geometry

abc: 10.9272 8.7054 6.8586
angles: 88.36 52.78 38.86
Sites, in units of the cell vectors:
Fe1 0.1250 0.1250 0.1250
Fe2 0.8750 0.8750 0.8750
Re1 0.2192 0.5308 0.2192
Re2 0.4692 0.7808 0.4692
Re3 0.5308 0.2192 0.5308
Re4 0.7808 0.4692 0.7808
Tc1 0.2486 0.2486 0.5014
Tc2 0.4986 0.4986 0.7514
Tc3 0.5014 0.5014 0.2486
Tc4 0.7514 0.7514 0.4986

Properties
* DOS(E_F): 3.5 states/eV/f.u.
* formation enthalpy at 0 K: 0.52 eV/atom
* final energy: -10.2940 eV/atom
* magnetic moment: 0.00 μB/atom

Question: Which value of formation enthalpy at 0 K does entry 7 give?
Answer: 0.06 eV/atom

Question: Among the records above, which one has the highest DOS(E_F)?
Answer: Fe2Re6Tc